Compound: Tc2NiF
Source: Alexandria
Functional: PBE+U
Structure: optimized geometry

Calculated values
Total magnetization ... 0.0 μB/cell
E_tot ... -0.40546 Ry/atom
Volume ... 13.6 A^3/atom

```
data_Tc2NiF
_chemical_formula_sum 'Tc8 Ni4 F4'
_cell_length_a 3.602
_cell_length_b 3.602
_cell_length_c 16.785
_cell_angle_alpha 90.00
_cell_angle_beta 90.00
_cell_angle_gamma 90.00
_space_group_name_H-M_alt 'I -4 2 d'
_space_group_IT_number 122
_space_group_name_Hall 'I -4 2bw'
loop_
_atom_site_label
_atom_site_type_symbol
_atom_site_fract_x
_atom_site_fract_y
_atom_site_fract_z
Tc1 Tc 0.229 0.250 0.125
Ni1 Ni 0.000 0.000 0.500
F1 F 0.000 0.000 0.000
```